Entry 1:
The following is a DFT calculation (GGA-PBE) of an optimized crystal structure of LiLaTb.

Calculated values
As for the crystal system: monoclinic. As for the offset from the most stable computed form: 1 meV/atom. As for the symmetry: C2/m. The calculation puts the formation energy at 0.087 eV per atom.

Unit cell a=3.7932 b=3.7932 c=12.9902 alpha=105.84 beta=105.84 gamma=90.04
Fractional positions:
Li 0.3124 0.3124 0.5552
Li 0.6876 0.6876 0.4448
La 0.6482 0.6482 0.8960
La 0.3518 0.3518 0.1040
Tb 0.9653 0.9653 0.7070
Tb 0.0347 0.0347 0.2930

---

Entry 2:
The following is a DFT calculation (GGA-PBE) of an optimized crystal structure of Zr3Al3Ni2.

Calculated values
As for the crystal system: triclinic. As for the offset from the most stable computed form: 79 meV/atom. As for the symmetry: P-1. The calculation puts the formation energy at -0.449 eV per atom.

Unit cell a=9.5547 b=7.3429 c=5.0610 alpha=70.20 beta=58.18 gamma=67.13
Fractional positions:
Ni 0.2307 0.5060 0.7849
Ni 0.7693 0.4940 0.2151
Ni 0.0531 0.2950 0.2966
Ni 0.9469 0.7050 0.7034
Al 0.4794 0.6985 0.4537
Al 0.5206 0.3015 0.5463
Al 0.9525 0.6469 0.2494
Al 0.0475 0.3531 0.7506
Al 0.2576 0.0596 0.9429
Al 0.7424 0.9404 0.0571
Zr 0.6101 0.8388 0.7476
Zr 0.3899 0.1612 0.2524
Zr 0.2933 0.6209 0.1654
Zr 0.7067 0.3791 0.8346
Zr 0.1161 0.9267 0.6673
Zr 0.8839 0.0733 0.3327

---

Entry 3:
The following is a DFT calculation (GGA-PBE) of an optimized crystal structure of CdFeAs2Se.

Calculated values
As for the crystal system: tetragonal. The value obtained for the raw formation energy is 1.286 eV per atom. As for the offset from the most stable computed form: 1038 meV/atom. As for the symmetry: P4/mmm.

Unit cell a=5.0916 b=5.0916 c=5.2078 alpha=90.00 beta=90.00 gamma=90.00
Each line ends with the local moment (μB).
Fractional positions:
As 0.0000 0.5000 0.0000  -0.12
As 0.5000 0.0000 0.0000  -0.12
Fe 0.5000 0.5000 0.5000  3.35
Se 0.0000 0.0000 0.5000  -0.06
Cd 0.0000 0.0000 0.0000  -0.01

---

Entry 4:
The following is a DFT calculation (GGA-PBE) of an optimized crystal structure of Na2TiCoN.

Calculated values
As for the crystal system: tetragonal. The value obtained for the raw formation energy is 1.920 eV per atom. As for the symmetry: P4/mmm.

Unit cell a=5.8064 b=3.9994 c=5.8064 alpha=90.00 beta=90.00 gamma=90.00
Each line ends with the local moment (μB).
Fractional positions:
Na 0.0000 0.0000 0.5000  0.00
Na 0.5000 0.0000 0.0000  0.00
N 0.5000 0.5000 0.5000  0.21
Co 0.0000 0.5000 0.0000  0.01
Ti 0.0000 0.0000 0.0000  0.05